Below is a geometry-optimized CsLaCu2 structure, with properties calculated at the PBE-GGA level.

Output
As for the space-group type: Fm-3m. The formation energy comes out at 0.4852 eV per atom. The calculation puts the total energy at -3.0081 eV per atom. For the density of states at the Fermi level, the calculation gives 4.8 states/eV/cell.

Geometry as POSCAR:
```
CsLaCu2
1.0
0.0000 3.8237 3.8237
3.8237 0.0000 3.8237
3.8237 3.8237 0.0000
Cs Cu La
1 2 1
direct
0.0000 0.0000 0.0000 Cs
0.2500 0.2500 0.2500 Cu
0.7500 0.7500 0.7500 Cu
0.5000 0.5000 0.5000 La
```